P | Fe2Os3: relaxed, PBE.

Computed properties:
Magnetization in Bohr magnetons per cell: 6.9
Space-group type: Fdd2, No. 43

abc: 6.773 5.037 7.757
angles: 59.49 39.85 80.66
Fractional positions:
Fe1 0.022 0.478 0.073
Fe2 0.177 0.823 0.228
Fe3 0.478 0.022 0.427
Fe4 0.823 0.177 0.772
Os1 0.044 0.044 0.956
Os2 0.294 0.294 0.206
Os3 0.485 0.584 0.319
Os4 0.584 0.485 0.611
Os5 0.639 0.931 0.666
Os6 0.931 0.639 0.765

---

Q | Fe2Os3: relaxed, PBE.

Computed properties:
Magnetization in Bohr magnetons per cell: 6.1
Space-group type: Fdd2, No. 43

abc: 8.027 4.737 7.378
angles: 79.75 35.50 64.75
Fractional positions:
Fe1 0.216 0.784 0.430
Fe2 0.680 0.820 0.466
Fe3 0.784 0.216 0.570
Fe4 0.820 0.680 0.034
Os1 0.152 0.243 0.019
Os2 0.231 0.664 0.098
Os3 0.243 0.152 0.586
Os4 0.481 0.481 0.519
Os5 0.664 0.231 0.007
Os6 0.731 0.731 0.769

---

Most stable pick: P. Distance to second place: 202 meV/atom.

---

P | Fe5Os4: relaxed, PBE.

Computed properties:
Magnetization in Bohr magnetons per cell: 5.0
Space-group type: I4/mmm, No. 139

abc: 5.806 5.806 5.806
angles: 96.01 96.01 142.25
Fractional positions:
Fe1 0.000 0.000 0.000
Fe2 0.338 0.338 0.675
Fe3 0.338 0.662 0.000
Fe4 0.662 0.338 0.000
Fe5 0.662 0.662 0.325
Os1 0.000 0.327 0.327
Os2 0.000 0.673 0.673
Os3 0.327 0.000 0.327
Os4 0.673 0.000 0.673

---

Q | Fe5Os4: relaxed, PBE.

Computed properties:
Magnetization in Bohr magnetons per cell: 3.3
Space-group type: P6_3/mcm, No. 193

abc: 7.134 7.134 5.188
angles: 90.00 90.00 120.00
Fractional positions:
Fe1 0.000 0.328 0.250
Fe2 0.000 0.672 0.750
Fe3 0.328 0.000 0.250
Fe4 0.328 0.328 0.750
Fe5 0.333 0.667 0.000
Fe6 0.333 0.667 0.500
Fe7 0.667 0.333 0.000
Fe8 0.667 0.333 0.500
Fe9 0.672 0.000 0.750
Fe10 0.672 0.672 0.250
Os1 0.000 0.000 0.000
Os2 0.000 0.000 0.500
Os3 0.000 0.341 0.750
Os4 0.000 0.659 0.250
Os5 0.341 0.000 0.750
Os6 0.341 0.341 0.250
Os7 0.659 0.000 0.250
Os8 0.659 0.659 0.750

---

Most stable pick: P. Distance to second place: 133 meV/atom.

---

P | Fe4Os: relaxed, PBE.

Computed properties:
Magnetization in Bohr magnetons per cell: 6.5
Space-group type: I4/m, No. 87

abc: 4.414 4.414 4.414
angles: 99.59 99.59 131.82
Fractional positions:
Fe1 0.100 0.301 0.402
Fe2 0.301 0.900 0.201
Fe3 0.699 0.100 0.799
Fe4 0.900 0.699 0.598
Os1 0.500 0.500 0.000

---

Q | Fe4Os: relaxed, PBE.

Computed properties:
Magnetization in Bohr magnetons per cell: 8.5
Space-group type: Pm-3m, No. 221

abc: 4.447 4.447 4.447
angles: 90.00 90.00 90.00
Fractional positions:
Fe1 0.000 0.000 0.000
Fe2 0.000 0.500 0.500
Fe3 0.500 0.000 0.500
Fe4 0.500 0.500 0.000
Os1 0.500 0.500 0.500

---

R | Fe4Os: relaxed, PBE.

Computed properties:
Magnetization in Bohr magnetons per cell: 0.7
Space-group type: I4/mmm, No. 139

abc: 5.920 5.920 5.920
angles: 147.02 147.02 47.34
Fractional positions:
Fe1 0.098 0.098 0.000
Fe2 0.250 0.750 0.500
Fe3 0.750 0.250 0.500
Fe4 0.902 0.902 0.000
Os1 0.500 0.500 0.000

---

Most stable pick: P. Distance to second place: 460 meV/atom.

---

P | FePOs3: relaxed, PBE.

Computed properties:
Magnetization in Bohr magnetons per cell: 0.1
Space-group type: Pm-3m, No. 221

abc: 4.297 4.297 4.297
angles: 90.00 90.00 90.00
Fractional positions:
Fe1 0.000 0.000 0.000
P1 0.500 0.500 0.500
Os1 0.000 0.500 0.500
Os2 0.500 0.000 0.500
Os3 0.500 0.500 0.000

---

Q | FePOs3: relaxed, PBE.

Computed properties:
Magnetization in Bohr magnetons per cell: 0.0
Space-group type: Pm-3m, No. 221

abc: 4.405 4.405 4.405
angles: 90.00 90.00 90.00
Fractional positions:
Fe1 0.000 0.000 0.000
P1 0.500 0.500 0.500
Os1 0.000 0.000 0.500
Os2 0.000 0.500 0.000
Os3 0.500 0.000 0.000

---

Most stable pick: P. Distance to second place: 699 meV/atom.

---

P | FePOsS2: relaxed, PBE.

Computed properties:
Magnetization in Bohr magnetons per cell: 0.0
Space-group type: P4/mmm, No. 123

abc: 4.259 4.259 4.251
angles: 90.00 90.00 90.00
Fractional positions:
Fe1 0.000 0.000 0.000
P1 0.000 0.000 0.500
Os1 0.500 0.500 0.500
S1 0.000 0.500 0.000
S2 0.500 0.000 0.000

---

Q | FePOsS2: relaxed, PBE.

Computed properties:
Magnetization in Bohr magnetons per cell: 2.9
Space-group type: P4/mmm, No. 123

abc: 4.738 4.738 4.455
angles: 90.00 90.00 90.00
Fractional positions:
Fe1 0.000 0.000 0.000
P1 0.500 0.500 0.000
Os1 0.500 0.500 0.500
S1 0.000 0.500 0.500
S2 0.500 0.000 0.500

---

Most stable pick: Q. Distance to second place: 96 meV/atom.